Computed, not measured: a geometry-optimized V2OF5 structure at the PBE+U level of DFT.

Unit cell a=4.9372 b=4.9372 c=4.6135 alpha=88.69 beta=88.69 gamma=59.33
Last column: nearest neighbours and their distance in Å.
Fractional positions:
V 0.3589 0.3290 0.2362  1 O 1.80, 4 F 1.96-2.00
V 0.6710 0.6411 0.7638  1 O 1.80, 4 F 1.96-2.00
O 0.6318 0.3682 0.0000  2 V 1.80
F 0.3521 0.6479 0.5000  2 V 2.00
F 0.6366 0.9954 0.5067  2 V 1.96-2.03
F 0.0046 0.3634 0.4933  2 V 1.96-2.03
F 0.9972 0.6474 0.0048  2 V 1.99
F 0.3526 0.0028 0.9952  2 V 1.99

Output
- crystal system = monoclinic
- E_tot (eV/f.u.) = -50.18
- offset from the most stable computed form (eV per atom) = 0.0532